First-principles (GGA+U) data for Li2CoP2O7 after structural relaxation, as listed in Alexandria.

Results
The density comes out at 2.88 g/cm3. The value obtained for the uncorrected energy is -0.2449 Ha/atom.

abc: 5.031 8.378 7.162
angles: 90.00 109.63 90.00
Space group P2_1 (No. 4)
Unique sites:
Li 0.145 0.000 0.415 [2 per cell]
Li 0.324 0.328 0.852 [2 per cell]
Co 0.301 0.686 0.779 [2 per cell]
P 0.112 0.995 0.981 [2 per cell]
P 0.282 0.387 0.415 [2 per cell]
O 0.065 0.491 0.881 [2 per cell]
O 0.104 0.512 0.245 [2 per cell]
O 0.115 0.232 0.399 [2 per cell]
O 0.279 0.841 0.994 [2 per cell]
O 0.299 0.144 0.012 [2 per cell]
O 0.303 0.474 0.609 [2 per cell]
O 0.427 0.863 0.606 [2 per cell]